1.
This record from the Alexandria database describes crystalline GaGe3Sb at its relaxed geometry. The functional is PBE.

Cell and atoms, written as CIF:
```
data_GaGe3Sb
_symmetry_space_group_name_H-M 'P 1'
_symmetry_Int_Tables_number 1
_symmetry_space_group_name_Hall 'P 1'
_cell_length_a 5.3650
_cell_length_b 5.3650
_cell_length_c 5.3650
_cell_angle_alpha 90.00
_cell_angle_beta 90.00
_cell_angle_gamma 90.00
loop_
_atom_site_label
_atom_site_type_symbol
_atom_site_fract_x
_atom_site_fract_y
_atom_site_fract_z
Sb1 Sb 0.0000 0.0000 0.0000
Ge1 Ge 0.0000 0.5000 0.0000
Ge2 Ge 0.0000 0.0000 0.5000
Ge3 Ge 0.5000 0.0000 0.0000
Ga1 Ga 0.5000 0.5000 0.5000
```

Space-group type: Pm-3m, No. 221
Formation energy without anion corrections: 921 meV/atom
Polymorph energy (0 for the lowest one): 1.88 eV/f.u.
Spin magnetization: 0.00 μB per atom
DOS at the Fermi energy: 0.881 states/eV/atom



2.
This record from the Alexandria database describes crystalline BeAuBr2 at its relaxed geometry. The functional is PBE.

Cell and atoms, written as CIF:
```
data_BeAuBr2
_symmetry_space_group_name_H-M 'P 1'
_symmetry_Int_Tables_number 1
_symmetry_space_group_name_Hall 'P 1'
_cell_length_a 11.1735
_cell_length_b 11.1735
_cell_length_c 11.1735
_cell_angle_alpha 17.04
_cell_angle_beta 17.04
_cell_angle_gamma 17.04
loop_
_atom_site_label
_atom_site_type_symbol
_atom_site_fract_x
_atom_site_fract_y
_atom_site_fract_z
Be1 Be 0.7500 0.7500 0.7500
Au1 Au 0.2500 0.2500 0.2500
Br1 Br 0.0407 0.0407 0.0407
Br2 Br 0.4593 0.4593 0.4593
```

Space-group type: R-3m, No. 166
Formation energy without anion corrections: -206 meV/atom
Polymorph energy (0 for the lowest one): 0.27 eV/f.u.
Spin magnetization: 0.00 μB per atom
DOS at the Fermi energy: 0.620 states/eV/atom



3.
This record from the Alexandria database describes crystalline CaBePS2 at its relaxed geometry. The functional is PBE.

Cell and atoms, written as CIF:
```
data_CaBePS2
_symmetry_space_group_name_H-M 'P 1'
_symmetry_Int_Tables_number 1
_symmetry_space_group_name_Hall 'P 1'
_cell_length_a 5.1511
_cell_length_b 5.1511
_cell_length_c 5.3802
_cell_angle_alpha 90.00
_cell_angle_beta 90.00
_cell_angle_gamma 90.00
loop_
_atom_site_label
_atom_site_type_symbol
_atom_site_fract_x
_atom_site_fract_y
_atom_site_fract_z
P1 P 0.0000 0.0000 0.5000
Ca1 Ca 0.0000 0.0000 0.0000
S1 S 0.0000 0.5000 0.0000
S2 S 0.5000 0.0000 0.0000
Be1 Be 0.5000 0.5000 0.5000
```

Space-group type: P4/mmm, No. 123
Formation energy without anion corrections: 1015 meV/atom
Polymorph energy (0 for the lowest one): 7.23 eV/f.u.
Spin magnetization: 0.40 μB per atom
DOS at the Fermi energy: 1.037 states/eV/atom



4.
This record from the Alexandria database describes crystalline Si2PIr at its relaxed geometry. The functional is PBE.

Cell and atoms, written as CIF:
```
data_Si2PIr
_symmetry_space_group_name_H-M 'P 1'
_symmetry_Int_Tables_number 1
_symmetry_space_group_name_Hall 'P 1'
_cell_length_a 4.4837
_cell_length_b 4.4837
_cell_length_c 4.4837
_cell_angle_alpha 127.08
_cell_angle_beta 127.08
_cell_angle_gamma 78.12
loop_
_atom_site_label
_atom_site_type_symbol
_atom_site_fract_x
_atom_site_fract_y
_atom_site_fract_z
Ir1 Ir 0.2500 0.7500 0.5000
P1 P 0.7500 0.2500 0.5000
Si1 Si 0.0000 0.0000 0.0000
Si2 Si 0.5000 0.5000 0.0000
```

Space-group type: I4/mmm, No. 139
Formation energy without anion corrections: 208 meV/atom
Polymorph energy (0 for the lowest one): 1.87 eV/f.u.
Spin magnetization: 0.00 μB per atom
DOS at the Fermi energy: 0.487 states/eV/atom



5.
This record from the Alexandria database describes crystalline BePtCl2 at its relaxed geometry. The functional is PBE.

Cell and atoms, written as CIF:
```
data_BePtCl2
_symmetry_space_group_name_H-M 'P 1'
_symmetry_Int_Tables_number 1
_symmetry_space_group_name_Hall 'P 1'
_cell_length_a 3.1093
_cell_length_b 3.1093
_cell_length_c 11.2010
_cell_angle_alpha 90.00
_cell_angle_beta 90.00
_cell_angle_gamma 124.03
loop_
_atom_site_label
_atom_site_type_symbol
_atom_site_fract_x
_atom_site_fract_y
_atom_site_fract_z
Be1 Be 0.5000 0.5000 0.7500
Pt1 Pt 0.5000 0.5000 0.2500
Cl1 Cl 0.0000 0.0000 0.8803
Cl2 Cl 0.0000 0.0000 0.6197
```

Space-group type: Cmmm, No. 65
Formation energy without anion corrections: -112 meV/atom
Polymorph energy (0 for the lowest one): 1.29 eV/f.u.
Spin magnetization: 0.15 μB per atom
DOS at the Fermi energy: 1.062 states/eV/atom



6.
This record from the Alexandria database describes crystalline CaTlSeClO at its relaxed geometry. The functional is PBE.

Cell and atoms, written as CIF:
```
data_CaTlSeClO
_symmetry_space_group_name_H-M 'P 1'
_symmetry_Int_Tables_number 1
_symmetry_space_group_name_Hall 'P 1'
_cell_length_a 9.2345
_cell_length_b 4.0518
_cell_length_c 7.0190
_cell_angle_alpha 90.00
_cell_angle_beta 104.01
_cell_angle_gamma 90.00
loop_
_atom_site_label
_atom_site_type_symbol
_atom_site_fract_x
_atom_site_fract_y
_atom_site_fract_z
Ca1 Ca 0.7868 0.0000 0.7332
Ca2 Ca 0.7868 0.5000 0.2332
Tl1 Tl 0.2748 0.0000 0.9125
Tl2 Tl 0.2748 0.5000 0.4125
Se1 Se 0.0714 0.0000 0.1814
Se2 Se 0.0714 0.5000 0.6814
Cl1 Cl 0.6047 0.0000 0.3428
Cl2 Cl 0.6047 0.5000 0.8428
O1 O 0.8630 0.0000 0.0905
O2 O 0.8630 0.5000 0.5905
```

Space-group type: Cm, No. 8
Formation energy without anion corrections: -1445 meV/atom
Polymorph energy (0 for the lowest one): 0.01 eV/f.u.
Spin magnetization: 0.00 μB per atom